Entry 1:
The following is a PBE-GGA calculation of crystalline CeInCuPt at its relaxed geometry, from Alexandria via LeMat-Bulk.

For the uncorrected energy, the calculation gives -21.0 eV per cell.

a = 4.8428 Å, b = 4.8428 Å, c = 4.8428 Å
α = 60.00°, β = 60.00°, γ = 60.00°
Positions (direct):
Cu1 0.7500 0.7500 0.7500
Ce1 0.0000 0.0000 0.0000
Pt1 0.2500 0.2500 0.2500
In1 0.5000 0.5000 0.5000

=====

Entry 2:
The following is a PBE-GGA calculation of crystalline Ce2InCu2Pt5 at its relaxed geometry, from Alexandria via LeMat-Bulk.

For the uncorrected energy, the calculation gives -120.6 eV per cell.

a = 3.9352 Å, b = 9.5871 Å, c = 9.5871 Å
α = 90.00°, β = 90.00°, γ = 90.00°
Last column: magnetic moment on the atom in μB.
Positions (direct):
Ce1 0.0000 0.6761 0.1761  0.56
Ce2 0.0000 0.3239 0.8239  0.56
Ce3 0.0000 0.1761 0.3239  0.56
Ce4 0.0000 0.8239 0.6761  0.56
In1 0.0000 0.0000 0.0000  0.00
In2 0.0000 0.5000 0.5000  0.00
Cu1 0.0000 0.1203 0.6203  0.00
Cu2 0.0000 0.8797 0.3797  0.00
Cu3 0.0000 0.6203 0.8797  0.00
Cu4 0.0000 0.3797 0.1203  0.00
Pt1 0.5000 0.2097 0.0683  0.00
Pt2 0.5000 0.7903 0.9317  0.00
Pt3 0.5000 0.0683 0.7903  0.00
Pt4 0.5000 0.7097 0.4317  0.00
Pt5 0.5000 0.9317 0.2097  0.00
Pt6 0.5000 0.2903 0.5683  0.00
Pt7 0.5000 0.5683 0.7097  0.00
Pt8 0.5000 0.4317 0.2903  0.00
Pt9 0.5000 0.5000 0.0000  -0.01
Pt10 0.5000 0.0000 0.5000  -0.01